No. 1
Entry from Alexandria: a relaxed MgCdRu crystal (GGA-PBE).

Summary:
ΔE to the lowest computed polymorph: 4.5 meV/atom
Crystal system: orthorhombic
E_form: 158 meV per atom
E_tot: -11.312 eV per formula unit
DOS(E_F): 0.82 states/eV per atom
M_tot: 0.69 μB per formula unit

abc: 2.9444 4.0295 8.7955
angles: 90.00 90.00 90.00
Space group Imm2 (No. 44)
Unique sites:
Mg1 0.0000 0.0000 0.0000
Cd1 0.0000 0.0000 0.3201
Ru1 0.0000 0.0000 0.6530

---

No. 2
Entry from Alexandria: a relaxed MgCdRu3 crystal (GGA-PBE).

Summary:
ΔE to the lowest computed polymorph: 0.0 meV/atom
Crystal system: cubic
E_form: 1561 meV per atom
E_tot: -22.534 eV per formula unit
DOS(E_F): 0.82 states/eV per atom
M_tot: 2.54 μB per formula unit

abc: 4.5264 4.5264 4.5264
angles: 90.00 90.00 90.00
Space group Pm-3m (No. 221)
Unique sites:
Mg1 0.0000 0.0000 0.0000
Cd1 0.5000 0.5000 0.5000
Ru1 0.0000 0.0000 0.5000

---

No. 3
Entry from Alexandria: a relaxed MgCdRu2 crystal (GGA-PBE).

Summary:
Crystal system: monoclinic
E_form: 289 meV per atom
E_tot: -19.906 eV per formula unit
DOS(E_F): 1.07 states/eV per atom
M_tot: 0.00 μB per formula unit

abc: 2.8089 4.5412 5.1415
angles: 90.00 97.48 90.00
Space group P2/m (No. 10)
Unique sites:
Mg1 0.0000 0.0000 0.0000
Cd1 0.5000 0.0000 0.5000
Ru1 0.2255 0.5000 0.7774